Material: Na2AcPrSe4
Method: DFT, GGA-PBE
State: optimized geometry

Cell and atoms, written as POSCAR:
```
Na2AcPrSe4
1.0
7.459 0.000 0.000
0.000 4.419 0.000
-2.622 0.000 7.201
Na Ac Pr Se
2 1 1 4
direct
0.000 0.000 0.000
0.000 0.500 0.500
0.500 0.000 0.500
0.500 0.500 0.000
0.257 0.500 0.244
0.261 0.000 0.762
0.739 0.000 0.238
0.743 0.500 0.756
```

Crystal system: monoclinic
Formation energy without anion corrections (kJ/mol of formula units): -1310.3

Material: HoThGeS
Method: DFT, GGA-PBE
State: optimized geometry

Cell and atoms, written as POSCAR:
```
HoThGeS
1.0
2.078 1.200 6.569
-2.078 1.200 6.569
0.000 -2.399 6.569
Ho Th Ge S
1 1 1 1
direct
0.000 0.000 0.000
0.501 0.501 0.501
0.747 0.747 0.747
0.254 0.254 0.254
```

Crystal system: trigonal
Formation energy without anion corrections (kJ/mol of formula units): -529.2

Material: NaVCd
Method: DFT, GGA-PBE
State: optimized geometry

Cell and atoms, written as POSCAR:
```
NaVCd
1.0
2.939 0.000 0.000
0.592 5.308 0.000
1.231 1.686 8.315
Na V Cd
2 2 2
direct
0.000 0.000 0.000
0.133 0.567 0.774
0.236 0.195 0.314
0.524 0.456 0.160
0.649 0.110 0.622
0.828 0.695 0.392
```

Crystal system: triclinic
Relative energy among the computed polymorphs (kJ per mole of atoms): 18.32

Material: Ce8Ge2Ru3
Method: DFT, GGA-PBE
State: optimized geometry

Cell and atoms, written as POSCAR:
```
Ce8Ge2Ru3
1.0
8.104 -3.545 0.000
8.104 3.545 0.000
-2.462 0.000 6.078
Ce Ge Ru
8 2 3
direct
0.096 0.096 0.434
0.172 0.626 0.079
0.316 0.316 0.450
0.374 0.828 0.921
0.626 0.172 0.079
0.684 0.684 0.550
0.828 0.374 0.921
0.904 0.904 0.566
0.236 0.236 0.864
0.764 0.764 0.136
0.000 0.000 0.000
0.305 0.695 0.500
0.695 0.305 0.500
```

Crystal system: monoclinic
Energy (eV/cell): -87.68

Material: Ba3As4Pd4
Method: DFT, GGA-PBE
State: optimized geometry

Cell and atoms, written as POSCAR:
```
Ba3As4Pd4
1.0
4.499 0.000 0.000
-0.012 4.678 0.000
-2.243 -2.320 12.676
Ba As Pd
3 4 4
direct
0.000 0.000 0.000
0.351 0.852 0.703
0.649 0.148 0.297
0.199 0.685 0.401
0.448 0.447 0.897
0.552 0.553 0.103
0.801 0.315 0.599
0.099 0.596 0.199
0.252 0.221 0.498
0.748 0.779 0.502
0.901 0.404 0.801
```

Crystal system: triclinic
Energy (eV/cell): -54.52

Material: Pr2Dy3Ho7
Method: DFT, GGA-PBE
State: optimized geometry

Cell and atoms, written as POSCAR:
```
Pr2Dy3Ho7
1.0
6.331 0.000 0.000
0.000 3.516 0.000
-1.865 0.000 17.350
Pr Dy Ho
2 3 7
direct
0.059 0.000 0.174
0.941 0.000 0.826
0.452 0.500 0.842
0.500 0.000 0.500
0.548 0.500 0.158
0.000 0.500 0.500
0.228 0.000 0.666
0.256 0.000 0.999
0.276 0.500 0.338
0.724 0.500 0.662
0.744 0.000 0.001
0.772 0.000 0.334
```

Crystal system: monoclinic
Relative energy among the computed polymorphs (kJ per mole of atoms): 0.00

Material: Sr2ZnFeN
Method: DFT, GGA-PBE
State: optimized geometry

Cell and atoms, written as POSCAR:
```
Sr2ZnFeN
1.0
5.440 0.000 0.000
0.000 5.440 0.000
0.000 0.000 3.603
Sr Zn Fe N
2 1 1 1
direct
0.000 0.500 0.000
0.500 0.000 0.000
0.000 0.000 0.500
0.500 0.500 0.500
0.500 0.500 0.000
```

Crystal system: tetragonal
Formation energy without anion corrections (kJ/mol of formula units): -141.7

Material: Ti4Zn3Hg
Method: DFT, GGA-PBE
State: optimized geometry

Cell and atoms, written as POSCAR:
```
Ti4Zn3Hg
1.0
3.221 0.000 0.000
0.000 4.536 0.000
0.000 0.000 9.027
Ti Zn Hg
4 3 1
direct
0.000 0.000 0.000
0.000 0.000 0.500
0.000 0.500 0.238
0.000 0.500 0.762
0.500 0.000 0.247
0.500 0.000 0.753
0.500 0.500 0.000
0.500 0.500 0.500
```

Crystal system: orthorhombic
Energy (eV/cell): -36.51

Material: SrSmBi
Method: DFT, GGA-PBE
State: optimized geometry

Cell and atoms, written as POSCAR:
```
SrSmBi
1.0
14.324 0.000 0.000
0.000 2.808 2.805
0.000 -2.808 2.805
Sr Sm Bi
2 2 2
direct
0.153 0.000 0.000
0.847 0.000 0.000
0.375 0.502 0.502
0.625 0.502 0.502
0.000 0.500 0.500
0.500 0.002 0.002
```

Crystal system: orthorhombic
Energy (eV/cell): -23.01

Material: K2SrSb2
Method: DFT, GGA-PBE
State: optimized geometry

Cell and atoms, written as POSCAR:
```
K2SrSb2
1.0
-2.468 2.468 7.774
2.468 -2.468 7.774
2.468 2.468 -7.774
K Sr Sb
2 1 2
direct
0.250 0.750 0.500
0.750 0.250 0.500
0.000 0.000 0.000
0.408 0.408 0.000
0.592 0.592 0.000
```

Crystal system: tetragonal
Formation energy without anion corrections (kJ/mol of formula units): -212.3
Relative energy among the computed polymorphs (kJ per mole of atoms): 8.64

Material: LiErNbRe
Method: DFT, GGA-PBE
State: optimized geometry

Cell and atoms, written as POSCAR:
```
LiErNbRe
1.0
0.000 3.305 3.305
3.305 0.000 3.305
3.305 3.305 0.000
Li Er Nb Re
1 1 1 1
direct
0.000 0.000 0.000
0.750 0.750 0.750
0.250 0.250 0.250
0.500 0.500 0.500
```

Crystal system: cubic
Energy (eV/cell): -28.71

Material: CeTl2Au2S4
Method: DFT, GGA-PBE
State: optimized geometry

Cell and atoms, written as POSCAR:
```
CeTl2Au2S4
1.0
7.466 -2.070 0.000
7.466 2.070 0.000
-2.727 0.000 7.354
Ce Tl Au S
1 2 2 4
direct
0.000 0.000 0.000
0.133 0.133 0.579
0.867 0.867 0.421
0.319 0.319 0.970
0.681 0.681 0.030
0.195 0.195 0.214
0.479 0.479 0.223
0.521 0.521 0.777
0.805 0.805 0.786
```

Crystal system: monoclinic
Formation energy without anion corrections (kJ/mol of formula units): -598.2